# 1
## PmTmHgAu (PBE)

Data for a relaxed structure of PmTmHgAu.

a b c (Å): 3.6687 3.6687 7.4201
angles (deg): 90.00 90.00 90.00
Last column: nearest neighbours and their distance in Å.
Positions (direct):
Pm  0.5000  0.5000  0.1148  4 Au 3.26, 4 Hg 3.30, 1 Tm 3.54
Tm  0.5000  0.5000  0.5923  4 Au 3.03, 4 Hg 3.18
Hg  0.0000  0.0000  0.8396  4 Tm 3.18, 4 Pm 3.30, 1 Au 3.40
Au  0.0000  0.0000  0.3812  4 Tm 3.03, 4 Pm 3.26

Results
* offset from the most stable computed form: 0.00 eV/f.u.
* calculated formation energy: -63 kJ per mole of atoms
* E_tot: -3.86 eV/atom

# 2
## AlReP (PBE)

Data for a relaxed structure of AlReP.

a b c (Å): 4.3990 4.3990 6.2294
angles (deg): 69.32 69.32 60.00
Last column: nearest neighbours and their distance in Å.
Positions (direct):
Re  0.5703  0.5703  0.2890  1 Re 2.40, 3 Al 2.57, 4 P 2.62-2.63
Re  0.4297  0.4297  0.7110  1 Re 2.40, 3 Al 2.57, 4 P 2.62-2.63
P  0.2763  0.2763  0.1711  4 Re 2.62-2.63, 4 Al 2.70-2.75
P  0.7237  0.7237  0.8289  4 Re 2.62-2.63, 4 Al 2.70-2.75
Al  0.8819  0.8819  0.3543  3 Re 2.57, 4 P 2.70-2.75
Al  0.1181  0.1181  0.6457  3 Re 2.57, 4 P 2.70-2.75

Results
* offset from the most stable computed form: 1.14 eV/f.u.
* calculated formation energy: 14 kJ per mole of atoms
* E_tot: -7.06 eV/atom

# 3
## Y5OsRh2 (PBE)

Data for a relaxed structure of Y5OsRh2.

a b c (Å): 4.2962 7.5306 12.0091
angles (deg): 90.00 90.00 90.00
Last column: nearest neighbours and their distance in Å.
Positions (direct):
Y  0.0000  0.0000  0.5000  4 Rh 2.95
Y  0.0000  0.5000  0.0000  4 Rh 2.95
Y  0.0000  0.8367  0.2041  1 Os 2.74
Y  0.0000  0.1633  0.7959  1 Os 2.74
Y  0.0000  0.6633  0.7041  1 Os 2.74
Y  0.0000  0.3367  0.2959  1 Os 2.74
Y  0.5000  0.6759  0.4087  2 Os 2.75, 2 Rh 2.90-3.08
Y  0.5000  0.3241  0.5913  2 Os 2.75, 2 Rh 2.90-3.08
Y  0.5000  0.8241  0.9087  2 Os 2.75, 2 Rh 2.90-3.08
Y  0.5000  0.1759  0.0913  2 Os 2.75, 2 Rh 2.90-3.08
Os  0.0000  0.5000  0.5000  6 Y 2.74-2.75
Os  0.0000  0.0000  0.0000  6 Y 2.74-2.75
Rh  0.5000  0.5424  0.1664  8 Y 2.90-3.12
Rh  0.5000  0.4576  0.8336  8 Y 2.90-3.12
Rh  0.5000  0.9576  0.6664  8 Y 2.90-3.12
Rh  0.5000  0.0424  0.3336  8 Y 2.90-3.12

Results
* calculated formation energy: -48 kJ per mole of atoms
* E_tot: -7.78 eV/atom

# 4
## MgFeHg (PBE)

Data for a relaxed structure of MgFeHg.

a b c (Å): 6.2335 6.2335 3.0176
angles (deg): 75.99 75.99 28.02
Last column: nearest neighbours and their distance in Å.
Positions (direct):
Fe  0.0022  0.0022  0.9978  4 Mg 2.79, 4 Hg 2.84, 4 Fe 3.02
Hg  0.3425  0.3425  0.6575  4 Fe 2.84, 4 Hg 3.02, 4 Mg 3.06
Mg  0.6554  0.6554  0.3446  4 Fe 2.79, 4 Mg 3.02, 4 Hg 3.06

Results
* offset from the most stable computed form: 0.00 eV/f.u.
* calculated formation energy: 22 kJ per mole of atoms
* E_tot: -3.23 eV/atom

Copy entry 4 word for word.
## MgFeHg (PBE)

Data for a relaxed structure of MgFeHg.

a b c (Å): 6.2335 6.2335 3.0176
angles (deg): 75.99 75.99 28.02
Last column: nearest neighbours and their distance in Å.
Positions (direct):
Fe  0.0022  0.0022  0.9978  4 Mg 2.79, 4 Hg 2.84, 4 Fe 3.02
Hg  0.3425  0.3425  0.6575  4 Fe 2.84, 4 Hg 3.02, 4 Mg 3.06
Mg  0.6554  0.6554  0.3446  4 Fe 2.79, 4 Mg 3.02, 4 Hg 3.06

Results
* offset from the most stable computed form: 0.00 eV/f.u.
* calculated formation energy: 22 kJ per mole of atoms
* E_tot: -3.23 eV/atom